(1)
Material: Si2SCl
Method: DFT, PBE
State: relaxed

Properties
ΔE_f (raw)	1.8	eV per formula unit
symmetry	Fm-3m
DOS at the Fermi energy	1.0	states/eV/f.u.
offset from the most stable computed form	153.8	meV/atom
spin magnetization	0.0000	μB/atom

Cell lengths 4.6359, 4.6359, 4.6359 Å; angles 60.00, 60.00, 60.00 degrees
With the nearest neighbours (Å) after each atom.
Atoms (fractional coordinates):
Si1 0.7500 0.7500 0.7500  4 S 2.84, 4 Cl 2.84
Si2 0.2500 0.2500 0.2500  4 Cl 2.84, 4 S 2.84
Cl1 0.5000 0.5000 0.5000  8 Si 2.84
S1 0.0000 0.0000 0.0000  8 Si 2.84

---

(2)
Material: ScHgI3
Method: DFT, PBE
State: relaxed

Properties
ΔE_f (raw)	-4.9	eV per formula unit
symmetry	R-3
DOS at the Fermi energy	0.0	states/eV/f.u.
offset from the most stable computed form	0.7	meV/atom
spin magnetization	0.0000	μB/atom

Cell lengths 11.1761, 11.1761, 11.1761 Å; angles 38.14, 38.14, 38.14 degrees
With the nearest neighbours (Å) after each atom.
Atoms (fractional coordinates):
I1 0.8010 0.4455 0.0905  2 Sc 2.90
I2 0.5545 0.9095 0.1990  2 Sc 2.90
I3 0.9095 0.1990 0.5545  2 Sc 2.90
I4 0.0905 0.8010 0.4455  2 Sc 2.90
I5 0.4455 0.0905 0.8010  2 Sc 2.90
I6 0.1990 0.5545 0.9095  2 Sc 2.90
Sc1 0.8333 0.8333 0.8333  6 I 2.90
Sc2 0.1667 0.1667 0.1667  6 I 2.90
Hg1 0.6636 0.6636 0.6636  3 Hg 4.22, 6 I 4.27-4.29
Hg2 0.3364 0.3364 0.3364  3 Hg 4.22, 6 I 4.27-4.29

---

(3)
Material: NpSbAu
Method: DFT, PBE
State: relaxed

Properties
ΔE_f (raw)	-0.5	eV per formula unit
symmetry	P-6m2
DOS at the Fermi energy	8.9	states/eV/f.u.
spin magnetization	1.5062	μB/atom

Cell lengths 3.1303, 5.0465, 5.0465 Å; angles 120.00, 90.00, 90.00 degrees
With the nearest neighbours (Å) after each atom.
Atoms (fractional coordinates):
Au1 0.1664 0.3333 0.6667  3 Sb 2.91, 2 Au 3.13
Sb1 0.1669 0.0000 0.0000  3 Au 2.91, 2 Sb 3.13
Np1 0.6667 0.6667 0.3333  2 Np 3.13, 6 Sb 3.31, 6 Au 3.31

---

(4)
Material: Li4CdSb3Pb2
Method: DFT, PBE
State: relaxed

Properties
ΔE_f (raw)	-2.8	eV per formula unit
symmetry	P-4m2
DOS at the Fermi energy	3.2	states/eV/f.u.
spin magnetization	0.0000	μB/atom

Cell lengths 4.3663, 4.3663, 12.7808 Å; angles 90.00, 90.00, 90.00 degrees
With the nearest neighbours (Å) after each atom.
Atoms (fractional coordinates):
Pb1 0.0000 0.5000 0.7665  4 Sb 3.29, 4 Li 3.45
Pb2 0.5000 0.0000 0.2335  4 Sb 3.29, 4 Li 3.45
Li1 0.5000 0.0000 0.6458  3 Sb 2.69-2.87, 2 Cd 2.87
Li2 0.0000 0.0000 0.0000  4 Sb 2.85, 4 Li 3.09
Li3 0.5000 0.5000 0.0000  4 Sb 2.85, 4 Li 3.09
Li4 0.0000 0.5000 0.3542  3 Sb 2.69-2.87, 2 Cd 2.87
Sb1 0.0000 0.0000 0.5000  4 Li 2.87, 4 Cd 3.09
Sb2 0.0000 0.5000 0.1438  5 Li 2.69-2.85
Sb3 0.5000 0.0000 0.8562  5 Li 2.69-2.85
Cd1 0.5000 0.5000 0.5000  4 Li 2.87, 4 Sb 3.09

---

(5)
Material: Li3Np2AuS6
Method: DFT, PBE
State: relaxed

Properties
ΔE_f (raw)	-13.2	eV per formula unit
symmetry	C2/m
DOS at the Fermi energy	16.2	states/eV/f.u.
spin magnetization	0.4998	μB/atom

Cell lengths 3.9159, 7.5455, 8.4522 Å; angles 105.39, 103.39, 90.00 degrees
With the nearest neighbours (Å) after each atom.
Atoms (fractional coordinates):
S1 0.0048 0.7422 0.0095  3 Li 2.52-2.66, 1 Np 2.56, 2 Au 2.78
S2 0.6702 0.5688 0.3404  3 Li 2.70-2.74, 3 Np 2.74-2.76
S3 0.6696 0.0753 0.3392  3 Li 2.63-2.74, 2 Np 2.68, 1 Au 2.69
S4 0.3298 0.4312 0.6596  3 Li 2.70-2.74, 3 Np 2.74-2.76
S5 0.3304 0.9247 0.6608  3 Li 2.63-2.74, 2 Np 2.68, 1 Au 2.69
S6 0.9952 0.2578 0.9905  3 Li 2.52-2.66, 1 Np 2.56, 2 Au 2.78
Li1 0.8360 0.1811 0.6721  6 S 2.52-2.74
Li2 0.5000 0.5000 0.0000  6 S 2.66-2.70
Li3 0.1640 0.8189 0.3279  6 S 2.52-2.74
Au1 0.5000 0.0000 0.0000  6 S 2.69-2.78
Np1 0.8444 0.6921 0.6889  6 S 2.56-2.76
Np2 0.1556 0.3079 0.3111  6 S 2.56-2.76

---

(6)
Material: Dy2ZnGa3Cu12
Method: DFT, PBE
State: relaxed

Properties
symmetry	R-3m
energy of formation	-0.016	eV per atom
DOS at the Fermi energy	7.4	states/eV/f.u.
spin magnetization	0.0000	μB/atom

Cell lengths 6.5273, 6.5273, 6.5273 Å; angles 84.76, 84.76, 84.76 degrees
With the nearest neighbours (Å) after each atom.
Atoms (fractional coordinates):
Cu1 0.8674 0.4139 0.4139  4 Cu 2.41-2.62
Cu2 0.5861 0.1326 0.5861  4 Cu 2.41-2.62
Cu3 0.5861 0.5861 0.1326  4 Cu 2.41-2.62
Cu4 0.1966 0.1966 0.7217  5 Cu 2.41-2.62, 1 Zn 2.46, 1 Ga 2.52
Cu5 0.1326 0.5861 0.5861  4 Cu 2.41-2.62
Cu6 0.4139 0.4139 0.8674  4 Cu 2.41-2.62
Cu7 0.7217 0.1966 0.1966  5 Cu 2.41-2.62, 1 Zn 2.46, 1 Ga 2.52
Cu8 0.8034 0.8034 0.2783  5 Cu 2.41-2.62, 1 Zn 2.46, 1 Ga 2.52
Cu9 0.4139 0.8674 0.4139  4 Cu 2.41-2.62
Cu10 0.1966 0.7217 0.1966  5 Cu 2.41-2.62, 1 Zn 2.46, 1 Ga 2.52
Cu11 0.2783 0.8034 0.8034  5 Cu 2.41-2.62, 1 Zn 2.46, 1 Ga 2.52
Cu12 0.8034 0.2783 0.8034  5 Cu 2.41-2.62, 1 Zn 2.46, 1 Ga 2.52
Zn1 0.0000 0.0000 0.0000  6 Cu 2.46
Ga1 0.0000 0.5000 0.0000  6 Cu 2.52-2.78
Ga2 0.0000 0.0000 0.5000  6 Cu 2.52-2.78
Ga3 0.5000 0.0000 0.0000  6 Cu 2.52-2.78
Dy1 0.7006 0.7006 0.7006  9 Cu 2.81-2.90, 3 Ga 3.02
Dy2 0.2994 0.2994 0.2994  9 Cu 2.81-2.90, 3 Ga 3.02

---

(7)
Material: Na2Tl12Pd7
Method: DFT, PBE
State: relaxed

Properties
symmetry	P-6
energy of formation	-0.094	eV per atom
DOS at the Fermi energy	8.6	states/eV/f.u.
spin magnetization	0.0000	μB/atom

Cell lengths 4.2826, 11.7294, 11.7294 Å; angles 120.00, 90.00, 90.00 degrees
With the nearest neighbours (Å) after each atom.
Atoms (fractional coordinates):
Na1 0.5000 0.0000 0.0000  6 Tl 3.42, 6 Pd 3.68
Na2 0.0000 0.6667 0.3333  9 Tl 3.57-3.91, 6 Pd 3.57
Tl1 0.5000 0.2332 0.7885  5 Pd 2.96-3.11
Tl2 0.0000 0.9546 0.2010  4 Pd 2.83-2.99
Tl3 0.0000 0.7990 0.7536  4 Pd 2.83-2.99
Tl4 0.5000 0.4061 0.2934  4 Pd 2.74-2.96
Tl5 0.0000 0.0520 0.5306  4 Pd 2.80-2.87
Tl6 0.0000 0.4785 0.9480  4 Pd 2.80-2.87
Tl7 0.5000 0.2115 0.4447  5 Pd 2.96-3.11
Tl8 0.5000 0.8874 0.5939  4 Pd 2.74-2.96
Tl9 0.0000 0.4694 0.5215  4 Pd 2.80-2.87
Tl10 0.0000 0.2464 0.0454  4 Pd 2.83-2.99
Tl11 0.5000 0.5553 0.7668  5 Pd 2.96-3.11
Tl12 0.5000 0.7066 0.1126  4 Pd 2.74-2.96
Pd1 0.0000 0.0532 0.7755  7 Tl 2.83-2.96
Pd2 0.5000 0.6393 0.5619  7 Tl 2.74-3.02
Pd3 0.0000 0.2245 0.2777  7 Tl 2.83-2.96
Pd4 0.5000 0.9225 0.3607  7 Tl 2.74-3.02
Pd5 0.0000 0.3333 0.6667  9 Tl 2.86-3.11
Pd6 0.0000 0.7223 0.9468  7 Tl 2.83-2.96
Pd7 0.5000 0.4381 0.0775  7 Tl 2.74-3.02

---

(8)
Material: KGaSnF6
Method: DFT, PBE
State: relaxed

Properties
ΔE_f (raw)	-22.8	eV per formula unit
symmetry	C2
DOS at the Fermi energy	0.0	states/eV/f.u.
spin magnetization	0.0000	μB/atom

Cell lengths 5.8924, 5.8925, 4.9544 Å; angles 90.03, 89.97, 59.78 degrees
With the nearest neighbours (Å) after each atom.
Atoms (fractional coordinates):
F1 0.0801 0.3031 0.2737  1 Ga 1.94
F2 0.6175 0.3027 0.7262  1 Ga 1.95
F3 0.6196 0.0781 0.2736  1 Ga 1.95
F4 0.0781 0.6196 0.7263  1 Ga 1.95
F5 0.3027 0.6175 0.2738  1 Ga 1.95
F6 0.3031 0.0801 0.7263  1 Ga 1.94
Ga1 0.3332 0.3332 0.5000  6 F 1.94-1.95
K1 0.6662 0.6662 0.5000  6 F 2.55-2.56
Sn1 0.9993 0.9993 0.0000  6 F 2.45-2.48

---

Q: What is the spin magnetization in the eighth record?
A: 0.0000 μB/atom